# 1
! PBE-GGA Pr3Si2Rh4, optimized geometry; values from VASP
&SYSTEM
  ibrav = 0, nat = 9, ntyp = 3
/
ATOMIC_SPECIES
Pr 140.91 Pr.upf
Si 28.09 Si.upf
Rh 102.91 Rh.upf
CELL_PARAMETERS angstrom
-2.721 0.916 3.018
-2.735 -0.668 -5.137
1.439 -7.882 3.688
ATOMIC_POSITIONS angstrom
Pr -1.385 -5.059 3.161
Pr 0.000 0.000 0.000
Pr -2.632 -2.576 -1.591
Si -2.219 -2.038 1.493
Si -1.798 -5.597 0.077
Rh -3.040 -0.208 0.197
Rh -0.976 -7.427 1.373
Rh -3.423 -4.154 1.049
Rh -0.593 -3.481 0.521
! Crystal system   monoclinic
! Size of the total moment   0.00 μB/f.u.
! Final energy   -62.2 eV/cell
! Fermi-level density of states   0.54 states/eV per atom
! Formation energy without anion corrections   -0.84 eV/atom

---

# 2
! PBE-GGA PrSi3Rh9, optimized geometry; values from VASP
&SYSTEM
  ibrav = 0, nat = 13, ntyp = 3
/
ATOMIC_SPECIES
Pr 140.91 Pr.upf
Si 28.09 Si.upf
Rh 102.91 Rh.upf
CELL_PARAMETERS angstrom
-3.708 0.571 3.441
-5.186 -2.872 -2.152
-0.027 -5.167 4.594
ATOMIC_POSITIONS angstrom
Pr 0.000 0.000 0.000
Si -4.447 -1.150 0.644
Si -0.014 -2.583 2.297
Si -1.868 -2.298 4.017
Rh -6.643 -5.803 4.330
Rh -2.279 -1.664 1.553
Rh -3.135 -4.357 4.843
Rh -5.787 -3.110 1.040
Rh -4.244 -2.419 3.332
Rh -4.678 -5.049 2.552
Rh -7.032 -3.271 3.486
Rh -1.890 -4.196 2.397
Rh -2.593 -1.436 -1.076
! Crystal system   monoclinic
! Size of the total moment   0.00 μB/f.u.
! Final energy   -94.4 eV/cell
! Fermi-level density of states   0.90 states/eV per atom
! Formation energy without anion corrections   -0.55 eV/atom

---

# 3
! PBE-GGA Pr3Si4Rh2, optimized geometry; values from VASP
&SYSTEM
  ibrav = 0, nat = 9, ntyp = 3
/
ATOMIC_SPECIES
Pr 140.91 Pr.upf
Si 28.09 Si.upf
Rh 102.91 Rh.upf
CELL_PARAMETERS angstrom
-2.554 -0.002 -3.276
5.027 -3.218 -1.284
-5.269 -4.895 4.110
ATOMIC_POSITIONS angstrom
Pr -4.106 -4.069 0.569
Pr 0.000 0.000 0.000
Pr 1.309 -4.046 -1.019
Si 0.000 -1.795 -2.633
Si -2.796 -6.320 2.183
Si -1.536 -5.452 -1.434
Si -1.260 -2.663 0.984
Rh -1.690 -3.023 -1.315
Rh -1.106 -5.091 0.865
! Crystal system   monoclinic
! Size of the total moment   0.00 μB/f.u.
! Final energy   -58.6 eV/cell
! Fermi-level density of states   0.50 states/eV per atom
! Formation energy without anion corrections   -0.88 eV/atom
! Energy above the lowest structure with this stoichiometry   0 meV/atom

---

# 4
! PBE-GGA Pr2Si3Rh5, optimized geometry; values from VASP
&SYSTEM
  ibrav = 0, nat = 20, ntyp = 3
/
ATOMIC_SPECIES
Pr 140.91 Pr.upf
Si 28.09 Si.upf
Rh 102.91 Rh.upf
CELL_PARAMETERS angstrom
-2.638 -1.033 2.891
4.989 -2.539 3.645
3.000 11.832 4.134
ATOMIC_POSITIONS angstrom
Pr 5.411 9.047 8.173
Pr 4.277 2.123 4.662
Pr 0.957 6.197 5.922
Pr 0.019 -0.828 2.555
Si 3.217 3.789 7.124
Si 1.437 0.872 4.456
Si 5.006 -1.075 4.184
Si 1.896 4.592 3.371
Si 2.467 8.255 8.036
Si 6.160 6.245 7.854
Rh 3.426 7.889 5.946
Rh 3.572 5.180 5.112
Rh -0.493 4.236 3.898
Rh 1.617 2.419 2.340
Rh 5.621 4.231 6.642
Rh 0.626 9.025 6.631
Rh 1.529 3.113 5.342
Rh 3.578 5.921 8.215
Rh 3.211 0.006 2.932
Rh 3.621 -0.492 5.962
! Crystal system   orthorhombic
! Size of the total moment   0.00 μB/f.u.
! Final energy   -141.4 eV/cell
! Fermi-level density of states   0.56 states/eV per atom
! Formation energy without anion corrections   -0.81 eV/atom